A.
Tl2BiPb6 | PBE-GGA | optimized geometry

The density of states at the Fermi level is 0.552 states/eV/atom.

```
Tl2BiPb6
1.0
6.4223 0.1538 -0.9374
-1.6529 9.3139 -1.5579
0.1943 0.0887 9.5845
Tl Bi Pb
4 2 12
Direct
0.1171 0.3857 0.3599
0.3829 0.6401 0.6143
0.8829 0.6143 0.6401
0.6171 0.3599 0.3857
0.2500 0.9074 0.0926
0.7500 0.0926 0.9074
0.5102 0.3327 0.7434
0.9898 0.2566 0.6673
0.4898 0.6673 0.2566
0.0102 0.7434 0.3327
0.7059 0.9252 0.5681
0.7941 0.4319 0.0748
0.2941 0.0748 0.4319
0.2059 0.5681 0.9252
0.2595 0.2501 0.0370
0.2405 0.9630 0.7499
0.7405 0.7499 0.9630
0.7595 0.0370 0.2501
```



B.
Tl2BiPb6 | PBE-GGA | optimized geometry

The density of states at the Fermi level is 0.585 states/eV/atom.

```
Tl2BiPb6
1.0
3.4833 0.0000 0.0000
-1.7417 3.0166 0.0000
0.0000 0.0000 27.0183
Tl Bi Pb
2 1 6
Direct
0.6667 0.3333 0.3307
0.6667 0.3333 0.6693
0.3333 0.6667 0.0000
0.6667 0.3333 0.8887
0.3333 0.6667 0.4392
0.3333 0.6667 0.7796
0.3333 0.6667 0.2204
0.3333 0.6667 0.5608
0.6667 0.3333 0.1113
```



B has the most favorable energy; the next structure is 0.032 eV/atom above.



A.
Tl3Bi2Pb4 | PBE-GGA | optimized geometry

The density of states at the Fermi level is 0.516 states/eV/atom.

```
Tl3Bi2Pb4
1.0
-3.8075 -2.1840 -2.5186
-2.8228 -4.3645 3.0403
-7.0432 5.2069 6.1216
Tl Bi Pb
3 2 4
Direct
0.3305 0.3401 0.4449
0.0000 0.0000 0.0000
0.6695 0.6599 0.5551
0.3302 0.3392 0.7835
0.6698 0.6608 0.2165
0.6632 0.6740 0.8874
0.9999 0.0039 0.3312
0.0001 0.9961 0.6688
0.3368 0.3260 0.1126
```



B.
Tl3Bi2Pb4 | PBE-GGA | optimized geometry

The density of states at the Fermi level is 0.537 states/eV/atom.

```
Tl3Bi2Pb4
1.0
5.9895 0.1693 -0.9972
3.0865 5.4604 0.0287
1.5270 2.9687 8.9055
Tl Bi Pb
3 2 4
Direct
0.5647 0.2223 0.6666
0.0000 0.0000 0.0000
0.4353 0.7777 0.3334
0.7650 0.1171 0.3294
0.2350 0.8829 0.6706
0.3327 0.3373 0.0019
0.8934 0.5704 0.6591
0.1066 0.4296 0.3409
0.6673 0.6627 0.9981
```



A has the most favorable energy; the next structure is 0.009 eV/atom above.



A.
Tl4BiPb5 | PBE-GGA | optimized geometry

The density of states at the Fermi level is 0.369 states/eV/atom.

```
Tl4BiPb5
1.0
6.1608 0.0000 0.0000
0.0000 10.9581 0.0000
0.0000 0.0000 9.9315
Tl Bi Pb
8 2 10
Direct
0.9169 0.0000 0.6793
0.2185 0.8419 0.0000
0.2185 0.1581 0.0000
0.9169 0.0000 0.3207
0.0831 0.5000 0.1793
0.7815 0.6581 0.5000
0.7815 0.3419 0.5000
0.0831 0.5000 0.8207
0.7117 0.0000 0.0000
0.2883 0.5000 0.5000
0.2659 0.7666 0.6710
0.2659 0.2334 0.6710
0.5376 0.5000 0.0000
0.2659 0.7666 0.3290
0.2659 0.2334 0.3290
0.7341 0.7334 0.1710
0.7341 0.2666 0.1710
0.4624 0.0000 0.5000
0.7341 0.2666 0.8290
0.7341 0.7334 0.8290
```



B.
Tl4BiPb5 | PBE-GGA | optimized geometry

The density of states at the Fermi level is 0.357 states/eV/atom.

```
Tl4BiPb5
1.0
3.5729 0.0000 0.0000
0.0000 3.5729 0.0000
0.0000 0.0000 24.2772
Tl Bi Pb
4 1 5
Direct
0.0000 0.0000 0.2020
0.0000 0.0000 0.4005
0.0000 0.0000 0.5995
0.0000 0.0000 0.7980
0.0000 0.0000 0.0000
0.5000 0.5000 0.1010
0.5000 0.5000 0.3008
0.5000 0.5000 0.5000
0.5000 0.5000 0.6992
0.5000 0.5000 0.8990
```



B has the most favorable energy; the next structure is 0.040 eV/atom above.



A.
TlBi3Pb4 | PBE-GGA | optimized geometry

The density of states at the Fermi level is 0.530 states/eV/atom.

```
TlBi3Pb4
1.0
-1.2047 -5.6669 0.1886
3.6638 -3.8014 -1.7377
5.2679 -3.8258 7.7741
Pb Tl Bi
4 1 3
Direct
0.8675 0.8741 0.3910
0.1325 0.1259 0.6090
0.3786 0.3862 0.8566
0.6214 0.6138 0.1434
0.0000 0.0000 0.0000
0.7395 0.7454 0.7757
0.2605 0.2546 0.2243
0.5000 0.5000 0.5000
```



B.
TlBi3Pb4 | PBE-GGA | optimized geometry

The density of states at the Fermi level is 0.560 states/eV/atom.

```
TlBi3Pb4
1.0
-9.8933 -0.8306 3.1469
0.5932 -5.5645 0.3963
2.6088 0.8788 8.4335
Tl Bi Pb
2 6 8
Direct
0.9537 0.5000 0.0000
0.4537 0.5000 0.5000
0.7559 0.0000 0.0000
0.9629 0.0000 0.2800
0.4629 0.0000 0.2200
0.2559 0.0000 0.5000
0.4629 0.0000 0.7800
0.9629 0.0000 0.7200
0.1874 0.0001 0.0000
0.3775 0.5000 0.0000
0.1575 0.5000 0.2995
0.6575 0.5000 0.2005
0.8775 0.5000 0.5000
0.6874 0.9999 0.5000
0.6575 0.5000 0.7995
0.1575 0.5000 0.7005
```



B has the most favorable energy; the next structure is 0.010 eV/atom above.